Record 1
First-principles (PBE-GGA) data for a relaxed structure of PuTh3Bi3, as listed in the Alexandria database.

## Properties
DFT formation energy   -212 meV/atom
Density of states at the Fermi level   11.404 states/eV/f.u.
Calculated volume   500.3 Å³/cell
Spin magnetization   16.1 μB per cell

Cell: 6.521 8.870 8.872 Å, 100.98 94.20 94.31°
Sites, in units of the cell vectors:
Pu (0.000, 0.166, 0.334)
Pu (0.000, 0.834, 0.666)
Th (0.233, 0.150, 0.022)
Th (0.233, 0.522, 0.649)
Th (0.235, 0.845, 0.345)
Th (0.765, 0.155, 0.655)
Th (0.767, 0.478, 0.351)
Th (0.767, 0.850, 0.978)
Bi (0.263, 0.777, 0.975)
Bi (0.264, 0.475, 0.276)
Bi (0.270, 0.155, 0.654)
Bi (0.730, 0.845, 0.346)
Bi (0.736, 0.525, 0.724)
Bi (0.737, 0.223, 0.025)

=====

Record 2
First-principles (PBE-GGA) data for a relaxed structure of HoGe2Rh4, as listed in the Alexandria database.

## Properties
DFT formation energy   -697 meV/atom
Distance to the lowest polymorph of the same formula   0 meV/atom
Density of states at the Fermi level   5.037 states/eV/f.u.
Calculated volume   230.3 Å³/cell
Spin magnetization   0.0 μB per cell

Cell: 7.706 7.706 3.878 Å, 90.00 90.00 90.00°
Sites, in units of the cell vectors:
Ho (0.000, 0.000, 0.000)
Ho (0.500, 0.500, 0.500)
Ge (0.226, 0.226, 0.500)
Ge (0.274, 0.726, 0.000)
Ge (0.726, 0.274, 0.000)
Ge (0.774, 0.774, 0.500)
Rh (0.076, 0.665, 0.500)
Rh (0.165, 0.424, 0.000)
Rh (0.335, 0.924, 0.500)
Rh (0.424, 0.165, 0.000)
Rh (0.576, 0.835, 0.000)
Rh (0.665, 0.076, 0.500)
Rh (0.835, 0.576, 0.000)
Rh (0.924, 0.335, 0.500)